{"formula": "AcBeBRh3", "functional": "GGA-PBE", "state": "optimized geometry", "cell": [[5.881, 0.000, 0.000], [0.000, 5.883, 0.000], [0.000, -2.941, 5.663]], "species": ["Ac", "Ac", "Be", "Be", "B", "B", "Rh", "Rh", "Rh", "Rh", "Rh", "Rh"], "frac_coords": [[0.750, 0.254, 0.509], [0.250, 0.746, 0.491], [0.250, 0.414, 0.828], [0.750, 0.586, 0.172], [0.250, 0.032, 0.063], [0.750, 0.968, 0.937], [0.250, 0.213, 0.425], [0.000, 0.245, 0.000], [0.500, 0.755, 0.000], [0.500, 0.245, 0.000], [0.000, 0.755, 0.000], [0.750, 0.787, 0.575]], "e_form_ev_per_atom": -0.537}

{"formula": "CsCoCl4", "functional": "GGA-PBE", "state": "optimized geometry", "cell": [[-1.089, -7.765, 3.718], [8.053, 3.002, -1.198], [3.271, 0.871, 7.990]], "species": ["Cs", "Cs", "Co", "Co", "Cl", "Cl", "Cl", "Cl", "Cl", "Cl", "Cl", "Cl"], "frac_coords": [[0.875, 0.625, 0.250], [0.125, 0.375, 0.750], [0.625, 0.875, 0.750], [0.375, 0.125, 0.250], [0.312, 0.729, 0.917], [0.646, 0.729, 0.583], [0.229, 0.146, 0.083], [0.688, 0.271, 0.083], [0.229, 0.812, 0.417], [0.771, 0.854, 0.917], [0.354, 0.271, 0.417], [0.771, 0.188, 0.583]], "e_above_lowest_polymorph_mev_per_atom": 0, "raw_formation_energy_kj_per_mol_atoms": -101.8}

{"formula": "Ac12NdRu7", "functional": "GGA-PBE", "state": "optimized geometry", "cell": [[-0.653, -9.142, -1.969], [4.705, 0.776, 8.071], [-8.697, 3.140, 1.540]], "species": ["Ac", "Ac", "Ac", "Ac", "Ac", "Ac", "Ac", "Ac", "Ac", "Ac", "Ac", "Ac", "Nd", "Ru", "Ru", "Ru", "Ru", "Ru", "Ru", "Ru"], "frac_coords": [[0.927, 0.315, 0.779], [0.685, 0.221, 0.073], [0.451, 0.156, 0.376], [0.844, 0.624, 0.549], [0.221, 0.073, 0.685], [0.624, 0.549, 0.844], [0.376, 0.451, 0.156], [0.779, 0.927, 0.315], [0.156, 0.376, 0.451], [0.549, 0.844, 0.624], [0.315, 0.779, 0.927], [0.073, 0.685, 0.221], [0.000, 0.000, 0.000], [0.981, 0.645, 0.872], [0.355, 0.128, 0.019], [0.128, 0.019, 0.355], [0.500, 0.500, 0.500], [0.872, 0.981, 0.645], [0.645, 0.872, 0.981], [0.019, 0.355, 0.128]], "e_form_ev_per_atom": -0.151}

{"formula": "BaCo3H", "functional": "GGA-PBE", "state": "optimized geometry", "cell": [[5.067, 0.000, 0.000], [0.000, 5.067, 0.000], [0.000, 0.000, 5.067]], "species": ["H", "Co", "Co", "Co", "Ba"], "frac_coords": [[0.500, 0.500, 0.500], [0.000, 0.500, 0.000], [0.000, 0.000, 0.500], [0.500, 0.000, 0.000], [0.000, 0.000, 0.000]], "e_above_lowest_polymorph_mev_per_atom": 1870}

{"formula": "TbIn2Br5", "functional": "GGA-PBE", "state": "optimized geometry", "cell": [[8.926, 0.000, 0.000], [0.000, 8.956, 0.000], [0.000, 0.000, 13.252]], "species": ["Tb", "Tb", "Tb", "Tb", "In", "In", "In", "In", "In", "In", "In", "In", "Br", "Br", "Br", "Br", "Br", "Br", "Br", "Br", "Br", "Br", "Br", "Br", "Br", "Br", "Br", "Br", "Br", "Br", "Br", "Br"], "frac_coords": [[0.423, 0.250, 0.506], [0.577, 0.750, 0.494], [0.923, 0.750, 0.994], [0.077, 0.250, 0.006], [0.404, 0.508, 0.831], [0.596, 0.492, 0.169], [0.904, 0.492, 0.669], [0.596, 0.008, 0.169], [0.096, 0.508, 0.331], [0.404, 0.992, 0.831], [0.096, 0.992, 0.331], [0.904, 0.008, 0.669], [0.091, 0.250, 0.503], [0.909, 0.750, 0.497], [0.591, 0.750, 0.997], [0.409, 0.250, 0.003], [0.331, 0.950, 0.560], [0.669, 0.050, 0.440], [0.831, 0.050, 0.940], [0.669, 0.450, 0.440], [0.169, 0.950, 0.060], [0.331, 0.550, 0.560], [0.169, 0.550, 0.060], [0.831, 0.450, 0.940], [0.141, 0.250, 0.796], [0.859, 0.750, 0.204], [0.641, 0.750, 0.704], [0.359, 0.250, 0.296], [0.574, 0.250, 0.697], [0.426, 0.750, 0.303], [0.074, 0.750, 0.803], [0.926, 0.250, 0.197]], "raw_formation_energy_kj_per_mol_atoms": -123.0}

{"formula": "Li2PmAlTe4", "functional": "GGA-PBE", "state": "optimized geometry", "cell": [[-4.739, -6.816, -2.093], [1.597, -3.481, 7.657], [-3.246, 8.169, -0.685]], "species": ["Li", "Li", "Li", "Li", "Pm", "Pm", "Al", "Al", "Te", "Te", "Te", "Te", "Te", "Te", "Te", "Te"], "frac_coords": [[0.500, 0.000, 0.000], [0.500, 0.000, 0.500], [0.000, 0.000, 0.500], [0.500, 0.500, 0.000], [0.000, 0.500, 0.000], [0.000, 0.500, 0.500], [0.500, 0.500, 0.500], [0.000, 0.000, 0.000], [0.265, 0.762, 0.013], [0.738, 0.235, 0.487], [0.262, 0.765, 0.513], [0.735, 0.238, 0.987], [0.741, 0.759, 0.969], [0.741, 0.759, 0.531], [0.259, 0.241, 0.469], [0.259, 0.241, 0.031]], "raw_formation_energy_kj_per_mol_atoms": -86.7}

| no. | final energy (eV/atom) | spin magnetization (μB/atom) |
| --- | --- | --- |
| 1 | -6.632 | 0.0000 |
| 2 | -3.613 | 0.6667 |
| 3 | -6.101 | 0.0000 |
| 4 | -2.622 | 0.7911 |
| 5 | -3.584 | 0.0000 |
| 6 | -4.009 | 0.0000 |